No. 1
A plane-wave DFT calculation with GGA-PBE was carried out for a relaxed La2Pr3Y2 crystal.

Values from the calculation:
DFT formation energy: 0.1075 eV/atom
D(E_F): 11.9 states/eV/f.u.
final energy: -36.37 eV/f.u.

Cell and atoms, written as extended XYZ:
```
14
Lattice="18.081 0.000 0.000 0.000 3.594 0.000 -4.218 0.000 7.677" Properties=species:S:1:pos:R:3 pbc="T T T"
La -0.578 0.000 3.164
La 5.400 1.797 4.513
La 8.462 1.797 3.164
La 14.441 0.000 4.513
Pr 0.000 1.797 0.000
Pr 2.609 1.797 2.269
Pr 2.213 0.000 5.408
Pr 9.040 0.000 0.000
Pr 11.649 0.000 2.269
Pr 11.254 1.797 5.408
Y -0.828 1.797 6.437
Y 5.651 0.000 1.240
Y 8.212 0.000 6.437
Y 14.691 1.797 1.240
```


No. 2
A plane-wave DFT calculation with GGA-PBE was carried out for a relaxed La2Pr2Y crystal.

Values from the calculation:
DFT formation energy: 0.2611 eV/atom
D(E_F): 7.9 states/eV/f.u.
final energy: -24.57 eV/f.u.

Cell and atoms, written as extended XYZ:
```
10
Lattice="3.528 -8.249 0.000 3.528 8.249 0.000 0.000 0.000 6.481" Properties=species:S:1:pos:R:3 pbc="T T T"
La 1.652 2.796 1.620
La 1.652 -2.796 4.861
La 5.404 2.796 1.620
La 5.404 -2.796 4.861
Pr 3.528 5.420 1.620
Pr 3.528 1.515 4.861
Pr 3.528 -1.515 1.620
Pr 3.528 -5.420 4.861
Y 0.000 0.000 0.000
Y 0.000 0.000 3.240
```


No. 3
A plane-wave DFT calculation with GGA-PBE was carried out for a relaxed La2Pr3Y5 crystal.

Values from the calculation:
DFT formation energy: 0.1600 eV/atom
D(E_F): 14.5 states/eV/f.u.
final energy: -54.91 eV/f.u.

Cell and atoms, written as extended XYZ:
```
20
Lattice="5.401 -8.502 0.000 5.401 8.502 0.000 -5.400 0.000 7.525" Properties=species:S:1:pos:R:3 pbc="T T T"
La 1.354 2.165 0.319
La -1.346 -2.165 4.082
La 6.748 2.165 3.443
La 4.048 -2.165 7.206
Pr 1.351 8.115 5.644
Pr 1.357 2.138 3.431
Pr -1.343 -2.138 7.194
Pr 6.745 2.138 0.331
Pr 4.044 -2.138 4.094
Pr 4.051 -8.115 1.881
Y -1.315 2.241 5.650
Y 1.351 4.713 5.644
Y 4.051 3.769 1.881
Y 1.385 -2.241 1.888
Y 4.051 0.426 1.881
Y 1.351 -0.426 5.644
Y 4.016 2.241 5.638
Y 1.351 -3.769 5.644
Y 4.051 -4.713 1.881
Y 6.717 -2.241 1.875
```


> D(E_F) of number 1 (La2Pr3Y2)?

11.9 states/eV/f.u.


> What is the formula in the second record?

La2Pr2Y


> Among the records above, which one has the highest DFT formation energy?

La2Pr2Y


Please write out number 1 again, unchanged.
A plane-wave DFT calculation with GGA-PBE was carried out for a relaxed La2Pr3Y2 crystal.

Values from the calculation:
DFT formation energy: 0.1075 eV/atom
D(E_F): 11.9 states/eV/f.u.
final energy: -36.37 eV/f.u.

Cell and atoms, written as extended XYZ:
```
14
Lattice="18.081 0.000 0.000 0.000 3.594 0.000 -4.218 0.000 7.677" Properties=species:S:1:pos:R:3 pbc="T T T"
La -0.578 0.000 3.164
La 5.400 1.797 4.513
La 8.462 1.797 3.164
La 14.441 0.000 4.513
Pr 0.000 1.797 0.000
Pr 2.609 1.797 2.269
Pr 2.213 0.000 5.408
Pr 9.040 0.000 0.000
Pr 11.649 0.000 2.269
Pr 11.254 1.797 5.408
Y -0.828 1.797 6.437
Y 5.651 0.000 1.240
Y 8.212 0.000 6.437
Y 14.691 1.797 1.240
```